Record 1
Sr2CaTlB: relaxed, PBE.

The space group is P4/mmm (No. 123) and the conventional cell measures 5.6786, 5.6786 and 5.2874 Å, with angles of 90.00, 90.00 and 90.00 degrees. The inequivalent atoms are Sr at (0.0000, 0.5000, 0.0000), Ca at (0.0000, 0.0000, 0.5000), Tl at (0.5000, 0.5000, 0.5000) and B at (0.0000, 0.0000, 0.0000).

The calculation puts the formation energy at 4.2 kcal/mol of atoms. Its total energy is -2.70 eV per atom.


Record 2
Ba2MgCuO4: relaxed, PBE.

The space group is I-4 (No. 82) and the conventional cell measures 6.0687, 6.0687 and 6.9813 Å, with angles of 90.00, 90.00 and 90.00 degrees. The inequivalent atoms are Ba at (0.0000, 0.0000, 0.0000), Ba at (0.0000, 0.5000, 0.2500), Mg at (0.0000, 0.0000, 0.5000), Cu at (0.0000, 0.5000, 0.7500) and O at (0.1577, 0.7653, 0.6500).

As for the formation energy (no corrections): -1494 kJ/mol of formula units. Its total energy is -5.61 eV per atom.


Record 3
K2CuPt: relaxed, PBE.

The space group is Pmmm (No. 47) and the conventional cell measures 4.3597, 4.4343 and 4.9129 Å, with angles of 90.00, 90.00 and 90.00 degrees. The inequivalent atoms are K at (0.0000, 0.0000, 0.0000), K at (0.5000, 0.5000, 0.0000), Cu at (0.0000, 0.5000, 0.5000) and Pt at (0.5000, 0.0000, 0.5000).

The calculation puts the formation energy at 9.2 kcal/mol of atoms. The value obtained for the distance to the lowest polymorph of the same formula is 1.311 eV/f.u. Its total energy is -2.68 eV per atom.


Record 4
PrScHgBi: relaxed, PBE.

The space group is F-43m (No. 216) and the conventional cell measures 7.5774, 7.5774 and 7.5774 Å, with angles of 90.00, 90.00 and 90.00 degrees. The inequivalent atoms are Pr at (0.0000, 0.0000, 0.0000), Sc at (0.0000, 0.0000, 0.5000), Hg at (0.2500, 0.2500, 0.7500) and Bi at (0.2500, 0.2500, 0.2500).

The calculation puts the formation energy at -10.4 kcal/mol of atoms. Its total energy is -4.27 eV per atom.


Record 5
PmSmSi4: relaxed, PBE.

The space group is F-43m (No. 216) and the conventional cell measures 7.6536, 7.6536 and 7.6536 Å, with angles of 90.00, 90.00 and 90.00 degrees. The inequivalent atoms are Pm at (0.0000, 0.0000, 0.0000), Sm at (0.2500, 0.2500, 0.7500) and Si at (0.1247, 0.1247, 0.3753).

As for the formation energy (no corrections): -175 kJ/mol of formula units. The value obtained for the distance to the lowest polymorph of the same formula is 1.724 eV/f.u. Its total energy is -5.50 eV per atom.


Record 6
TmHfCuNi: relaxed, PBE.

The space group is F-43m (No. 216) and the conventional cell measures 6.5720, 6.5720 and 6.5720 Å, with angles of 90.00, 90.00 and 90.00 degrees. The inequivalent atoms are Tm at (0.0000, 0.0000, 0.0000), Hf at (0.0000, 0.0000, 0.5000), Cu at (0.2500, 0.2500, 0.2500) and Ni at (0.2500, 0.2500, 0.7500).

The calculation puts the formation energy at -6.2 kcal/mol of atoms. Its total energy is -6.34 eV per atom.


Record 7
AcCeSnPb: relaxed, PBE.

The space group is F-43m (No. 216) and the conventional cell measures 8.0540, 8.0540 and 8.0540 Å, with angles of 90.00, 90.00 and 90.00 degrees. The inequivalent atoms are Ac at (0.0000, 0.0000, 0.0000), Ce at (0.0000, 0.0000, 0.5000), Sn at (0.2500, 0.2500, 0.2500) and Pb at (0.2500, 0.2500, 0.7500).

The calculation puts the formation energy at -10.0 kcal/mol of atoms. The value obtained for the distance to the lowest polymorph of the same formula is 0.000 eV/f.u. Its total energy is -4.87 eV per atom.


Record 8
K2CaTa: relaxed, PBE.

The space group is P4/mmm (No. 123) and the conventional cell measures 4.9648, 4.9648 and 6.3369 Å, with angles of 90.00, 90.00 and 90.00 degrees. The inequivalent atoms are K at (0.0000, 0.5000, 0.0000), Ca at (0.0000, 0.0000, 0.5000) and Ta at (0.5000, 0.5000, 0.5000).

The calculation puts the formation energy at 29.1 kcal/mol of atoms. The value obtained for the distance to the lowest polymorph of the same formula is 1.587 eV/f.u. Its total energy is -2.75 eV per atom.


Record 9
NaSb2TeI: relaxed, PBE.

The space group is P4/mmm (No. 123) and the conventional cell measures 5.8945, 5.8945 and 6.0222 Å, with angles of 90.00, 90.00 and 90.00 degrees. The inequivalent atoms are Na at (0.0000, 0.0000, 0.0000), Sb at (0.0000, 0.5000, 0.5000), Te at (0.5000, 0.5000, 0.0000) and I at (0.5000, 0.5000, 0.5000).

As for the formation energy (no corrections): 301 kJ/mol of formula units. The value obtained for the distance to the lowest polymorph of the same formula is 1.501 eV/f.u. Its total energy is -2.23 eV per atom.


Record 10
CaSiMoP2: relaxed, PBE.

The space group is P4/mmm (No. 123) and the conventional cell measures 4.8589, 4.8589 and 4.9270 Å, with angles of 90.00, 90.00 and 90.00 degrees. The inequivalent atoms are Ca at (0.0000, 0.0000, 0.0000), Si at (0.0000, 0.0000, 0.5000), Mo at (0.5000, 0.5000, 0.5000) and P at (0.0000, 0.5000, 0.0000).

As for the formation energy (no corrections): 942 kJ/mol of formula units. Its total energy is -3.86 eV per atom.


Record 11
KCu2Sb: relaxed, PBE.

The space group is P4/mmm (No. 123) and the conventional cell measures 4.7457, 4.7457 and 3.7977 Å, with angles of 90.00, 90.00 and 90.00 degrees. The inequivalent atoms are K at (0.0000, 0.0000, 0.0000), Cu at (0.0000, 0.5000, 0.5000) and Sb at (0.5000, 0.5000, 0.0000).

As for the formation energy (no corrections): 149 kJ/mol of formula units. Its total energy is -2.97 eV per atom.


Record 12
K2PbO2: relaxed, PBE.

The space group is P-1 (No. 2) and the conventional cell measures 7.4519, 7.6729 and 10.1722 Å, with angles of 84.90, 69.97 and 61.24 degrees. The inequivalent atoms are K at (0.0661, 0.4520, 0.1664), K at (0.0819, 0.9243, 0.1701), K at (0.2333, 0.2771, 0.4950), K at (0.3989, 0.5667, 0.8584), Pb at (0.2981, 0.7136, 0.4741), Pb at (0.3976, 0.0620, 0.8696), O at (0.0552, 0.2187, 0.9860), O at (0.1881, 0.5994, 0.3498), O at (0.3360, 0.4812, 0.6306) and O at (0.4989, 0.7979, 0.0054).

As for the formation energy (no corrections): -613 kJ/mol of formula units. The value obtained for the distance to the lowest polymorph of the same formula is 0.000 eV/f.u. Its total energy is -4.43 eV per atom.


Record 13
ErTc2W: relaxed, PBE.

The space group is Fm-3m (No. 225) and the conventional cell measures 6.4682, 6.4682 and 6.4682 Å, with angles of 90.00, 90.00 and 90.00 degrees. The inequivalent atoms are Er at (0.0000, 0.0000, 0.0000), Tc at (0.2500, 0.2500, 0.2500) and W at (0.0000, 0.0000, 0.5000).

The calculation puts the formation energy at -0.3 kcal/mol of atoms. Its total energy is -9.58 eV per atom.


Record 14
CuHPd3: relaxed, PBE.

The space group is R-3 (No. 148, hexagonal axes) and the conventional cell measures 4.8634, 4.8634 and 19.3861 Å, with angles of 90.00, 90.00 and 120.00 degrees. The inequivalent atoms are Cu at (0.0000, 0.0000, 0.1670), H at (0.0000, 0.0000, 0.3161) and Pd at (0.0018, 0.6628, 0.2710).

The value obtained for the distance to the lowest polymorph of the same formula is 0.631 eV/f.u. Its total energy is -4.56 eV per atom.


Record 15
Na3Tl3PdI8: relaxed, PBE.

The space group is C2/m (No. 12) and the conventional cell measures 16.1265, 9.3157 and 9.7727 Å, with angles of 90.00, 123.36 and 90.00 degrees. The inequivalent atoms are Na at (0.0000, 0.0000, 0.0000), Na at (0.2500, 0.2500, 0.0000), Tl at (0.0000, 0.5000, 0.5000), Tl at (0.2500, 0.2500, 0.5000), Pd at (0.0000, 0.5000, 0.0000), I at (0.0074, 0.2774, 0.7998), I at (0.2163, 0.5000, 0.2014) and I at (0.2410, 0.0000, 0.2223).

As for the formation energy (no corrections): -1092 kJ/mol of formula units. Its total energy is -2.66 eV per atom.


Record 16
Cr3Pb: relaxed, PBE.

The space group is P4/mmm (No. 123) and the conventional cell measures 4.2959, 4.2959 and 3.6547 Å, with angles of 90.00, 90.00 and 90.00 degrees. The inequivalent atoms are Cr at (0.0000, 0.0000, 0.0000), Cr at (0.0000, 0.5000, 0.5000) and Pb at (0.5000, 0.5000, 0.0000).

The calculation puts the formation energy at 13.1 kcal/mol of atoms. Its total energy is -7.58 eV per atom.


Record 17
SrSi2Ir: relaxed, PBE.

The space group is I-4m2 (No. 119) and the conventional cell measures 4.2359, 4.2359 and 8.4187 Å, with angles of 90.00, 90.00 and 90.00 degrees. The inequivalent atoms are Sr at (0.0000, 0.0000, 0.0000), Si at (0.0000, 0.0000, 0.5000), Si at (0.0000, 0.5000, 0.2500) and Ir at (0.0000, 0.5000, 0.7500).

As for the formation energy (no corrections): 130 kJ/mol of formula units. Its total energy is -5.01 eV per atom.


Record 18
Zn4C5: relaxed, PBE.

The space group is I4/mmm (No. 139) and the conventional cell measures 10.4531, 10.4531 and 2.5342 Å, with angles of 90.00, 90.00 and 90.00 degrees. The inequivalent atoms are Zn at (0.0000, 0.1950, 0.0000), C at (0.0000, 0.0000, 0.0000) and C at (0.2307, 0.2307, 0.0000).

The calculation puts the formation energy at 25.2 kcal/mol of atoms. The value obtained for the distance to the lowest polymorph of the same formula is 0.000 eV/f.u. Its total energy is -4.60 eV per atom.


Record 19
LiCuRh2: relaxed, PBE.

The space group is I-4m2 (No. 119) and the conventional cell measures 3.7604, 3.7604 and 7.4353 Å, with angles of 90.00, 90.00 and 90.00 degrees. The inequivalent atoms are Li at (0.0000, 0.0000, 0.0000), Cu at (0.0000, 0.5000, 0.2500), Rh at (0.0000, 0.0000, 0.5000) and Rh at (0.0000, 0.5000, 0.7500).

The calculation puts the formation energy at -0.6 kcal/mol of atoms. Its total energy is -5.21 eV per atom.


Record 20
K3Ho3NbS8: relaxed, PBE.

The space group is R-3m (No. 166, hexagonal axes) and the conventional cell measures 7.8291, 7.8291 and 22.5506 Å, with angles of 90.00, 90.00 and 120.00 degrees. The inequivalent atoms are K at (0.0000, 0.5000, 0.0000), Ho at (0.0000, 0.5000, 0.5000), Nb at (0.0000, 0.0000, 0.5000), S at (0.0000, 0.0000, 0.2339) and S at (0.0208, 0.5104, 0.2303).

As for the formation energy (no corrections): -2407 kJ/mol of formula units. Its total energy is -5.67 eV per atom.


Record 21
Cu2HgBr: relaxed, PBE.

The space group is Pmmm (No. 47) and the conventional cell measures 3.5950, 3.7335 and 6.4594 Å, with angles of 90.00, 90.00 and 90.00 degrees. The inequivalent atoms are Cu at (0.0000, 0.0000, 0.0000), Cu at (0.5000, 0.0000, 0.5000), Hg at (0.0000, 0.5000, 0.5000) and Br at (0.5000, 0.5000, 0.0000).

As for the formation energy (no corrections): 93 kJ/mol of formula units. The value obtained for the distance to the lowest polymorph of the same formula is 0.970 eV/f.u. Its total energy is -2.30 eV per atom.


Record 22
Ac8Pt3SCl4: relaxed, PBE.

The space group is R-3m (No. 166, hexagonal axes) and the conventional cell measures 8.8571, 8.8571 and 22.7718 Å, with angles of 90.00, 90.00 and 120.00 degrees. The inequivalent atoms are Ac at (0.0000, 0.0000, 0.2363), Ac at (0.0048, 0.5024, 0.7600), Pt at (0.0000, 0.5000, 0.5000), S at (0.0000, 0.0000, 0.5000), Cl at (0.0000, 0.0000, 0.0000) and Cl at (0.0000, 0.5000, 0.0000).

As for the formation energy (no corrections): -2260 kJ/mol of formula units. Its total energy is -5.37 eV per atom.


Record 23
CsCu2AsS4: relaxed, PBE.

The space group is I-42m (No. 121) and the conventional cell measures 6.3683, 6.3683 and 9.2016 Å, with angles of 90.00, 90.00 and 90.00 degrees. The inequivalent atoms are Cs at (0.0000, 0.0000, 0.0000), Cu at (0.0000, 0.5000, 0.2500), As at (0.0000, 0.0000, 0.5000) and S at (0.1897, 0.1897, 0.3413).

As for the formation energy (no corrections): -203 kJ/mol of formula units. Its total energy is -4.04 eV per atom.


Record 24
KMn2Au: relaxed, PBE.

The space group is Fm-3m (No. 225) and the conventional cell measures 6.8859, 6.8859 and 6.8859 Å, with angles of 90.00, 90.00 and 90.00 degrees. The inequivalent atoms are K at (0.0000, 0.0000, 0.0000), Mn at (0.2500, 0.2500, 0.2500) and Au at (0.0000, 0.0000, 0.5000).

The calculation puts the formation energy at 16.4 kcal/mol of atoms. The value obtained for the distance to the lowest polymorph of the same formula is 1.259 eV/f.u. Its total energy is -4.97 eV per atom.


Record 25
Tb8GaAu2: relaxed, PBE.

The space group is C2/m (No. 12) and the conventional cell measures 17.9035, 5.1380 and 6.9159 Å, with angles of 90.00, 106.44 and 90.00 degrees. The inequivalent atoms are Tb at (0.0283, 0.0000, 0.2788), Tb at (0.0918, 0.5000, 0.9574), Tb at (0.1678, 0.5000, 0.4767), Tb at (0.1989, 0.0000, 0.8208), Ga at (0.0000, 0.5000, 0.5000) and Au at (0.1832, 0.0000, 0.2250).

The calculation puts the formation energy at -9.7 kcal/mol of atoms. Its total energy is -4.66 eV per atom.


Record 26
Tl2CuF4: relaxed, PBE.

The space group is I4/mmm (No. 139) and the conventional cell measures 6.3773, 6.3773 and 7.3550 Å, with angles of 90.00, 90.00 and 90.00 degrees. The inequivalent atoms are Tl at (0.0000, 0.5000, 0.2500), Cu at (0.0000, 0.0000, 0.0000) and F at (0.2110, 0.2110, 0.0000).

As for the formation energy (no corrections): -1134 kJ/mol of formula units. The value obtained for the distance to the lowest polymorph of the same formula is 0.119 eV/f.u. Its total energy is -4.01 eV per atom.


| no. | total magnetization (μB per formula unit) |
| --- | --- |
| 1 | 2.34 |
| 2 | 0.96 |
| 3 | 0.00 |
| 4 | 0.00 |
| 5 | 0.00 |
| 6 | 0.00 |
| 7 | 1.57 |
| 8 | 4.24 |
| 9 | 0.88 |
| 10 | 0.00 |
| 11 | 0.00 |
| 12 | 0.00 |
| 13 | 0.00 |
| 14 | 0.00 |
| 15 | 2.05 |
| 16 | 2.93 |
| 17 | 0.00 |
| 18 | 0.00 |
| 19 | 0.00 |
| 20 | 1.01 |
| 21 | 0.00 |
| 22 | 0.00 |
| 23 | 0.00 |
| 24 | 8.36 |
| 25 | 0.00 |
| 26 | 1.00 |